Here is crystalline KThCr2O8 at its relaxed geometry from Alexandria. Energies are from PBE with a Hubbard U.

Density   3.57 g/cm3
Space-group type   P-3m1
N(E_F)   0.523 states/eV per atom
VASP energy   -7.233 eV per atom

Lattice parameters (Å, degrees): 5.8905 5.8905 7.7887 90.00 90.00 120.00
Fractional positions:
K (0.0000, 0.0000, 0.0000)
Th (0.0000, 0.0000, 0.5000)
Cr (0.3333, 0.6667, 0.7605)
Cr (0.6667, 0.3333, 0.2395)
O (0.1750, 0.3500, 0.6850)
O (0.1750, 0.8250, 0.6850)
O (0.3333, 0.6667, 0.9691)
O (0.3500, 0.1750, 0.3150)
O (0.6500, 0.8250, 0.6850)
O (0.6667, 0.3333, 0.0309)
O (0.8250, 0.1750, 0.3150)
O (0.8250, 0.6500, 0.3150)